Compound: Ca2DyHg4Pb
Source: the Alexandria database
Functional: PBE
Structure: relaxed

```
Ca2DyHg4Pb
1.0
2.643 1.526 8.838
-2.643 1.526 8.838
0.000 -3.051 8.838
Ca Dy Hg Pb
2 1 4 1
direct
0.243 0.243 0.243
0.757 0.757 0.757
0.000 0.000 0.000
0.117 0.117 0.117
0.363 0.363 0.363
0.637 0.637 0.637
0.883 0.883 0.883
0.500 0.500 0.500
```

The crystal system is trigonal. The value obtained for the total energy is -2.141 eV/atom. As for the magnetization: 0.0 μB/f.u.

---

Compound: CaPm2DyHg4
Source: the Alexandria database
Functional: PBE
Structure: relaxed

```
CaPm2DyHg4
1.0
2.674 1.544 8.721
-2.674 1.544 8.721
0.000 -3.088 8.721
Ca Pm Dy Hg
1 2 1 4
direct
0.000 0.000 0.000
0.252 0.252 0.252
0.748 0.748 0.748
0.500 0.500 0.500
0.127 0.127 0.127
0.377 0.377 0.377
0.623 0.623 0.623
0.873 0.873 0.873
```

The crystal system is trigonal. The value obtained for the total energy is -2.678 eV/atom. As for the magnetization: 0.0 μB/f.u.

---

Compound: CaPmDy2Hg4
Source: the Alexandria database
Functional: PBE
Structure: relaxed

```
CaPmDy2Hg4
1.0
2.652 1.531 8.688
-2.652 1.531 8.688
0.000 -3.062 8.688
Ca Pm Dy Hg
1 1 2 4
direct
0.000 0.000 0.000
0.500 0.500 0.500
0.252 0.252 0.252
0.748 0.748 0.748
0.125 0.125 0.125
0.375 0.375 0.375
0.625 0.625 0.625
0.875 0.875 0.875
```

The crystal system is trigonal. The value obtained for the total energy is -2.647 eV/atom. As for the magnetization: 0.0 μB/f.u.

---

Compound: CaPrDyHg
Source: the Alexandria database
Functional: PBE
Structure: relaxed

```
CaPrDyHg
1.0
0.000 3.922 3.922
3.922 0.000 3.922
3.922 3.922 0.000
Ca Pr Dy Hg
1 1 1 1
direct
0.000 0.000 0.000
0.250 0.250 0.250
0.750 0.750 0.750
0.500 0.500 0.500
```

The crystal system is cubic. The value obtained for the total energy is -2.988 eV/atom. As for the energy above the most stable polymorph in this dataset: 0.178 eV/atom. As for the magnetization: 0.0 μB/f.u.

---

Compound: CaPrDyHg
Source: the Alexandria database
Functional: PBE
Structure: relaxed

```
CaPrDyHg
1.0
3.668 0.000 0.000
0.000 3.668 0.000
0.000 0.000 9.375
Ca Pr Dy Hg
1 1 1 1
direct
0.000 0.000 0.000
0.500 0.500 0.319
0.000 0.000 0.586
0.500 0.500 0.784
```

The crystal system is tetragonal. The value obtained for the total energy is -3.166 eV/atom. As for the energy above the most stable polymorph in this dataset: 0.000 eV/atom. As for the magnetization: 0.0 μB/f.u.

---

Compound: Ca2PrDyHg4
Source: the Alexandria database
Functional: PBE
Structure: relaxed

```
Ca2PrDyHg4
1.0
2.672 1.543 8.746
-2.672 1.543 8.746
0.000 -3.085 8.746
Ca Pr Dy Hg
2 1 1 4
direct
0.249 0.249 0.249
0.751 0.751 0.751
0.000 0.000 0.000
0.500 0.500 0.500
0.127 0.127 0.127
0.378 0.378 0.378
0.622 0.622 0.622
0.873 0.873 0.873
```

The crystal system is trigonal. The value obtained for the total energy is -2.357 eV/atom. As for the magnetization: 0.0 μB/f.u.

---

no.,calculated formation energy (meV per atom)
1,-451
2,-514
3,-502
4,-67
5,-245
6,-533